Record 1
# PBE K12I4BrO3, optimized geometry
data_K12I4BrO3
_symmetry_space_group_name_H-M 'I m -3 m'
_symmetry_Int_Tables_number 229
_symmetry_space_group_name_Hall '-I 4 2 3'
_cell_length_a 11.3042
_cell_length_b 11.3042
_cell_length_c 11.3042
_cell_angle_alpha 90.00
_cell_angle_beta 90.00
_cell_angle_gamma 90.00
loop_
_atom_site_label
_atom_site_type_symbol
_atom_site_fract_x
_atom_site_fract_y
_atom_site_fract_z
K1 K 0.0000 0.0000 0.2806
K2 K 0.0000 0.2500 0.5000
I1 I 0.2500 0.2500 0.2500
Br1 Br 0.0000 0.0000 0.0000
O1 O 0.0000 0.0000 0.5000
# **D(E_F)**: 2.8 states/eV/f.u.
# **V**: 36.1 Å³ per atom
# **E_form (uncorrected)**: -1219 meV/atom

Record 2
# PBE K6I3Br2O, optimized geometry
data_K6I3Br2O
_symmetry_space_group_name_H-M 'C 1 2/m 1'
_symmetry_Int_Tables_number 12
_cell_length_a 8.4063
_cell_length_b 14.5283
_cell_length_c 8.1995
_cell_angle_alpha 90.00
_cell_angle_beta 110.00
_cell_angle_gamma 90.00
loop_
_symmetry_equiv_pos_as_xyz
'x,y,z'
'-x,-y,-z'
'-x,y,-z'
'x,-y,z'
'x+1/2,y+1/2,z'
'-x+1/2,-y+1/2,-z'
'-x+1/2,y+1/2,-z'
'x+1/2,-y+1/2,z'
loop_
_atom_site_label
_atom_site_type_symbol
_atom_site_fract_x
_atom_site_fract_y
_atom_site_fract_z
K1 K 0.2305 0.1573 0.2196
K2 K 0.2420 0.0000 0.7785
I1 I 0.0000 0.1693 0.5000
I2 I 0.0000 0.5000 0.5000
Br1 Br 0.0000 0.3335 0.0000
O1 O 0.0000 0.0000 0.0000
# **V**: 39.2 Å³ per atom
# **E_form (uncorrected)**: -1391 meV/atom

Record 3
# PBE KIBr2O, optimized geometry
data_KIBr2O
_symmetry_space_group_name_H-M 'P n n m'
_symmetry_Int_Tables_number 58
_cell_length_a 11.7511
_cell_length_b 13.0722
_cell_length_c 5.3304
_cell_angle_alpha 90.00
_cell_angle_beta 90.00
_cell_angle_gamma 90.00
loop_
_symmetry_equiv_pos_as_xyz
'x,y,z'
'-x,-y,-z'
'-x,-y,z'
'x,y,-z'
'x+1/2,-y+1/2,-z+1/2'
'-x+1/2,y+1/2,z+1/2'
'-x+1/2,y+1/2,-z+1/2'
'x+1/2,-y+1/2,z+1/2'
loop_
_atom_site_label
_atom_site_type_symbol
_atom_site_fract_x
_atom_site_fract_y
_atom_site_fract_z
K1 K 0.2044 0.2432 0.0000
I1 I 0.0000 0.0000 0.0000
I2 I 0.0000 0.5000 0.0000
Br1 Br 0.0994 0.6887 0.0000
Br2 Br 0.2233 0.9416 0.0000
O1 O 0.2073 0.2634 0.5000
# **Polymorph energy (0 for the lowest one)**: 250 meV/atom
# **V**: 40.9 Å³ per atom
# **E_form (uncorrected)**: -309 meV/atom

> Which of these has the highest V?

KIBr2O

Repeat the first record exactly.
# PBE K12I4BrO3, optimized geometry
data_K12I4BrO3
_symmetry_space_group_name_H-M 'I m -3 m'
_symmetry_Int_Tables_number 229
_symmetry_space_group_name_Hall '-I 4 2 3'
_cell_length_a 11.3042
_cell_length_b 11.3042
_cell_length_c 11.3042
_cell_angle_alpha 90.00
_cell_angle_beta 90.00
_cell_angle_gamma 90.00
loop_
_atom_site_label
_atom_site_type_symbol
_atom_site_fract_x
_atom_site_fract_y
_atom_site_fract_z
K1 K 0.0000 0.0000 0.2806
K2 K 0.0000 0.2500 0.5000
I1 I 0.2500 0.2500 0.2500
Br1 Br 0.0000 0.0000 0.0000
O1 O 0.0000 0.0000 0.5000
# **D(E_F)**: 2.8 states/eV/f.u.
# **V**: 36.1 Å³ per atom
# **E_form (uncorrected)**: -1219 meV/atom

Repeat the third record exactly.
# PBE KIBr2O, optimized geometry
data_KIBr2O
_symmetry_space_group_name_H-M 'P n n m'
_symmetry_Int_Tables_number 58
_cell_length_a 11.7511
_cell_length_b 13.0722
_cell_length_c 5.3304
_cell_angle_alpha 90.00
_cell_angle_beta 90.00
_cell_angle_gamma 90.00
loop_
_symmetry_equiv_pos_as_xyz
'x,y,z'
'-x,-y,-z'
'-x,-y,z'
'x,y,-z'
'x+1/2,-y+1/2,-z+1/2'
'-x+1/2,y+1/2,z+1/2'
'-x+1/2,y+1/2,-z+1/2'
'x+1/2,-y+1/2,z+1/2'
loop_
_atom_site_label
_atom_site_type_symbol
_atom_site_fract_x
_atom_site_fract_y
_atom_site_fract_z
K1 K 0.2044 0.2432 0.0000
I1 I 0.0000 0.0000 0.0000
I2 I 0.0000 0.5000 0.0000
Br1 Br 0.0994 0.6887 0.0000
Br2 Br 0.2233 0.9416 0.0000
O1 O 0.2073 0.2634 0.5000
# **Polymorph energy (0 for the lowest one)**: 250 meV/atom
# **V**: 40.9 Å³ per atom
# **E_form (uncorrected)**: -309 meV/atom

> Look up the E_form (uncorrected) of the third one.

-309 meV/atom